Rb2Tl6AgPb PBE optimized geometry; calculated total energy = -2.2011 eV/atom
1.0
8.0709 0.0000 0.0000
4.0354 6.9896 0.0000
4.0354 2.3299 13.7391
Tl Rb Ag Pb
12 4 2 2
direct
0.1919 0.7747 0.8415
0.6512 0.6512 0.6145
0.8081 0.2253 0.1585
0.8081 0.8081 0.1585
0.0832 0.6512 0.6145
0.3488 0.9168 0.3855
0.3488 0.3488 0.3855
0.2253 0.8081 0.1585
0.9168 0.3488 0.3855
0.1919 0.1919 0.8415
0.7747 0.1919 0.8415
0.6512 0.0832 0.6145
0.6992 0.6992 0.9024
0.8690 0.8690 0.3930
0.1310 0.1310 0.6070
0.3008 0.3008 0.0976
0.5000 0.5000 0.5000
0.0000 0.0000 0.0000
0.5814 0.5814 0.2559
0.4186 0.4186 0.7441


RbTl2AgPb PBE optimized geometry; calculated total energy = -2.3230 eV/atom
1.0
5.7046 0.0000 0.0000
0.0000 5.7046 0.0000
0.0000 0.0000 5.6774
Pb Rb Ag Tl
1 1 1 2
direct
0.0000 0.0000 0.5000
0.5000 0.5000 0.5000
0.0000 0.0000 0.0000
0.5000 0.0000 0.0000
0.0000 0.5000 0.0000


RbVAg2Pb PBE optimized geometry; calculated total energy = -2.3979 eV/atom
1.0
-2.4319 0.2561 -4.8405
5.1960 -2.6765 -2.7521
-2.1145 -4.9292 0.8016
Pb V Ag Rb
1 1 2 1
direct
0.0000 0.0000 0.0000
0.5000 0.5000 0.5000
0.5000 0.0000 0.0000
0.0000 0.0000 0.5000
0.0000 0.5000 0.0000


RbZr2AgPb PBE optimized geometry; calculated total energy = -2.9160 eV/atom
1.0
-4.1506 0.9728 2.7931
-3.4097 -1.3136 -4.6094
-0.1385 -4.8717 1.4908
Pb Zr Rb Ag
1 2 1 1
direct
0.0000 0.5000 0.0000
0.0000 0.0000 0.5000
0.5000 0.0000 0.0000
0.0000 0.0000 0.0000
0.5000 0.5000 0.5000


ReAgPb2 PBE optimized geometry; distance to the lowest polymorph of the same formula = 600.4 meV/atom; calculated total energy = -4.3880 eV/atom
1.0
-3.6928 -4.6322 3.0723
3.9248 0.4389 5.3793
-3.2867 2.0387 6.3710
Pb Ag Re
4 2 2
direct
0.6548 0.1250 0.2500
0.3750 0.3452 0.7500
0.8750 0.9048 0.7500
0.0952 0.6250 0.2500
0.2500 0.7500 0.5000
0.5000 0.5000 0.0000
0.0000 0.0000 0.0000
0.7500 0.2500 0.5000


Re2AgPb PBE optimized geometry; calculated total energy = -6.8329 eV/atom
1.0
-1.4113 -0.6255 -2.7502
4.1190 -0.8544 -1.9194
-0.3854 -4.7073 1.2683
Ag Re Pb
1 2 1
direct
0.5000 0.0000 0.5000
0.0000 0.0000 0.0000
0.5000 0.5000 0.0000
0.0000 0.5000 0.5000


Re2AgPb PBE optimized geometry; calculated total energy = -7.3940 eV/atom
1.0
-0.1135 -1.3401 2.7423
-0.5447 -2.6912 -1.3377
8.1750 -1.4664 -0.3783
Re Ag Pb
2 1 1
direct
0.0000 0.0000 0.0504
0.5000 0.5000 0.2160
0.0000 0.0000 0.4660
0.5000 0.5000 0.7676


ReAgPb2 PBE optimized geometry; distance to the lowest polymorph of the same formula = 1.0 meV/atom; calculated total energy = -4.9874 eV/atom
1.0
-0.5143 2.2531 2.0219
-3.0220 -0.2604 -0.4775
-0.5806 -6.7156 7.3359
Ag Re Pb
1 1 2
direct
0.5000 0.5000 0.7136
0.0000 0.0000 0.5281
0.5000 0.5000 0.3133
0.0000 0.0000 0.9451


Re2AgPb PBE optimized geometry; calculated total energy = -6.8436 eV/atom
1.0
5.8230 -0.0014 0.0084
-3.0970 4.9312 0.0084
0.7087 1.2815 2.5176
Re Ag Pb
2 1 1
direct
0.0000 0.0000 0.0000
0.5000 0.5000 0.0000
0.5000 0.0000 0.5000
0.0000 0.5000 0.5000


ReAgPb2 PBE optimized geometry; distance to the lowest polymorph of the same formula = 19.7 meV/atom; calculated total energy = -4.9686 eV/atom
1.0
-0.6509 9.8975 -5.1968
-2.8929 8.4200 -6.7916
-3.5632 9.8033 -4.0731
Ag Pb Re
1 2 1
direct
0.7602 0.7602 0.7602
0.0144 0.0144 0.0144
0.2319 0.2319 0.2319
0.4935 0.4935 0.4935


Re2AgPb PBE optimized geometry; calculated total energy = -6.8677 eV/atom
1.0
4.8605 -0.0053 0.0000
1.0652 4.7424 0.0000
-2.9629 -2.3685 3.0391
Re Pb Ag
2 1 1
direct
0.0000 0.0000 0.0000
0.2500 0.7500 0.5000
0.7500 0.2500 0.5000
0.5000 0.5000 0.0000


Re2Ag2Pb PBE optimized geometry; distance to the lowest polymorph of the same formula = 0.0 meV/atom; calculated total energy = -5.9493 eV/atom
1.0
-1.0364 -3.0516 -6.1687
-3.5758 -5.0913 3.1194
-3.4065 2.1051 -0.4690
Re Ag Pb
4 4 2
direct
0.1177 0.3823 0.0000
0.6177 0.1177 0.0000
0.8823 0.6177 0.0000
0.3823 0.8823 0.0000
0.6755 0.8245 0.5000
0.8245 0.3245 0.5000
0.3245 0.1755 0.5000
0.1755 0.6755 0.5000
0.5000 0.5000 0.0000
0.0000 0.0000 0.0000


Summary of energy of formation in eV/atom
0.068 0.129 1.501 2.009 1.291 1.031 0.470 0.692 1.020 0.710 0.996 0.912
(order as listed above)